(1)
## LiLuAgPd (PBE-GGA)

Data for a geometry-optimized LiLuAgPd structure.

The structure in POSCAR format:
```
LiLuAgPd
1.0
6.691 0.000 0.000
0.000 6.691 0.000
0.000 0.000 6.691
Li Lu Ag Pd
4 4 4 4
direct
0.000 0.000 0.000
0.000 0.500 0.500
0.500 0.000 0.500
0.500 0.500 0.000
0.000 0.000 0.500
0.000 0.500 0.000
0.500 0.000 0.000
0.500 0.500 0.500
0.250 0.250 0.750
0.250 0.750 0.250
0.750 0.250 0.250
0.750 0.750 0.750
0.250 0.250 0.250
0.250 0.750 0.750
0.750 0.250 0.750
0.750 0.750 0.250
```

Properties
- electronic total energy (eV for the cell shown) = -65.539
- density of states at the Fermi level (states/eV/cell) = 7.7
- crystal system = cubic


(2)
## La3Pm3PuTe8 (PBE-GGA)

Data for a geometry-optimized La3Pm3PuTe8 structure.

The structure in POSCAR format:
```
La3Pm3PuTe8
1.0
4.492 2.593 7.418
-4.492 2.593 7.418
0.000 -5.186 7.418
La Pm Pu Te
3 3 1 8
direct
0.000 0.500 0.500
0.500 0.000 0.500
0.500 0.500 0.000
0.000 0.000 0.500
0.000 0.500 0.000
0.500 0.000 0.000
0.500 0.500 0.500
0.244 0.752 0.752
0.248 0.248 0.248
0.248 0.248 0.756
0.248 0.756 0.248
0.752 0.244 0.752
0.752 0.752 0.244
0.752 0.752 0.752
0.756 0.248 0.248
```

Properties
- ΔE_f (raw) (eV/atom) = -1.4656
- density of states at the Fermi level (states/eV/cell) = 20.9
- crystal system = trigonal


(3)
## TaCoW3 (PBE-GGA)

Data for a geometry-optimized TaCoW3 structure.

The structure in POSCAR format:
```
TaCoW3
1.0
4.727 0.000 0.000
0.000 4.727 0.000
0.000 0.000 4.727
Ta Co W
1 1 3
direct
0.000 0.000 0.000
0.500 0.500 0.500
0.000 0.000 0.500
0.000 0.500 0.000
0.500 0.000 0.000
```

Properties
- energy above the most stable polymorph in this dataset (meV per atom) = 1410
- density of states at the Fermi level (states/eV/cell) = 8.6
- crystal system = cubic